First-principles (PBE) data for a geometry-optimized GaPdI2F structure, as listed in the Alexandria database.

```
data_GaPdI2F
_symmetry_space_group_name_H-M 'P 4/m m m'
_symmetry_Int_Tables_number 123
_symmetry_space_group_name_Hall '-P 4 2'
_cell_length_a 5.4840
_cell_length_b 5.4840
_cell_length_c 4.8662
_cell_angle_alpha 90.00
_cell_angle_beta 90.00
_cell_angle_gamma 90.00
loop_
_atom_site_label
_atom_site_type_symbol
_atom_site_fract_x
_atom_site_fract_y
_atom_site_fract_z
Ga1 Ga 0.0000 0.0000 0.0000
Pd1 Pd 0.0000 0.0000 0.5000
I1 I 0.0000 0.5000 0.0000
F1 F 0.5000 0.5000 0.5000
```

Values from the calculation:
VASP energy ... -12.6 eV for the cell shown
Crystal system ... tetragonal
Total moment ... 0.44 μB per formula unit
Uncorrected formation energy ... 0.116 eV per atom